(1)
# BaEu2Mn2O7 PBE+U relaxed
data_BaEu2Mn2O7
_chemical_formula_sum 'Ba1 Eu2 Mn2 O7'
_cell_length_a 10.4005
_cell_length_b 10.4005
_cell_length_c 10.4005
_cell_angle_alpha 158.01
_cell_angle_beta 158.01
_cell_angle_gamma 31.29
_space_group_name_H-M_alt 'P 1'
_space_group_IT_number 1
_space_group_name_Hall 'P 1'
loop_
_atom_site_label
_atom_site_type_symbol
_atom_site_fract_x
_atom_site_fract_y
_atom_site_fract_z
Ba1 Ba 0.0000 0.0000 0.0000
Eu1 Eu 0.1830 0.1830 0.0000
Eu2 Eu 0.8169 0.8169 0.0000
Mn1 Mn 0.3988 0.3988 0.0000
Mn2 Mn 0.6012 0.6012 0.0000
O1 O 0.1063 0.6063 0.5000
O2 O 0.2988 0.2988 0.0000
O3 O 0.3937 0.8937 0.5000
O4 O 0.5000 0.5000 0.0000
O5 O 0.6063 0.1063 0.5000
O6 O 0.7012 0.7012 0.0000
O7 O 0.8937 0.3937 0.5000
# Space group: I4/mmm, No. 139
# Total magnetic moment: 5.8 μB/f.u.
# Density: 6.99 g cm⁻³
# E_tot: -8.312 eV per atom

=====

(2)
# BaEu2Mn2O7 PBE+U relaxed
data_BaEu2Mn2O7
_chemical_formula_sum 'Ba2 Eu4 Mn4 O14'
_cell_length_a 10.3574
_cell_length_b 10.3574
_cell_length_c 5.6184
_cell_angle_alpha 90.00
_cell_angle_beta 90.00
_cell_angle_gamma 31.64
_space_group_name_H-M_alt 'P 1'
_space_group_IT_number 1
_space_group_name_Hall 'P 1'
loop_
_atom_site_label
_atom_site_type_symbol
_atom_site_fract_x
_atom_site_fract_y
_atom_site_fract_z
Ba1 Ba 0.2482 0.7518 0.7500
Ba2 Ba 0.7518 0.2482 0.2500
Eu1 Eu 0.0529 0.5816 0.7500
Eu2 Eu 0.4184 0.9471 0.7500
Eu3 Eu 0.5816 0.0529 0.2500
Eu4 Eu 0.9471 0.4184 0.2500
Mn1 Mn 0.1498 0.6472 0.2500
Mn2 Mn 0.3528 0.8502 0.2500
Mn3 Mn 0.6472 0.1498 0.7500
Mn4 Mn 0.8502 0.3528 0.7500
O1 O 0.0171 0.5801 0.2500
O2 O 0.1025 0.1025 0.0000
O3 O 0.1025 0.1025 0.5000
O4 O 0.2649 0.7351 0.2500
O5 O 0.3893 0.3893 0.0000
O6 O 0.3893 0.3893 0.5000
O7 O 0.4199 0.9829 0.2500
O8 O 0.5801 0.0171 0.7500
O9 O 0.6107 0.6107 0.0000
O10 O 0.6107 0.6107 0.5000
O11 O 0.7351 0.2649 0.7500
O12 O 0.8975 0.8975 0.0000
O13 O 0.8975 0.8975 0.5000
O14 O 0.9829 0.4199 0.7500
# Space group: Cmcm, No. 63
# Total magnetic moment: 5.7 μB/f.u.
# Density: 6.96 g cm⁻³
# E_tot: -8.313 eV per atom